# Ta2TlTe | Alexandria via LeMat-Bulk | PBEsol | optimized geometry
data_Ta2TlTe
_chemical_formula_sum 'Ta8 Tl4 Te4'
_symmetry_space_group_name_H-M 'F -4 3 m'
_symmetry_Int_Tables_number 216
_symmetry_space_group_name_Hall 'F -4 2 3'
_cell_length_a 6.8992
_cell_length_b 6.8992
_cell_length_c 6.8992
_cell_angle_alpha 90.00
_cell_angle_beta 90.00
_cell_angle_gamma 90.00
loop_
_atom_site_label
_atom_site_type_symbol
_atom_site_fract_x
_atom_site_fract_y
_atom_site_fract_z
Ta1 Ta 0.0000 0.0000 0.0000
Ta2 Ta 0.2500 0.2500 0.2500
Tl1 Tl 0.0000 0.0000 0.5000
Te1 Te 0.2500 0.2500 0.7500
# **M_tot**: 0.000 μB per atom
# **E_tot**: -114.0 eV per cell
# **Density of states at the Fermi level**: 16.5 states/eV/cell